## Pm2AlTc (PBE)

Data for a geometry-optimized Pm2AlTc structure.

Calculated values
As for the space group: P4/mmm. The distance to the lowest polymorph of the same formula comes out at 0 kJ/mol of formula units. The value obtained for the energy of formation is -38 meV per atom.

Cell lengths 3.650, 3.650, 7.050 Å; angles 90.00, 90.00, 90.00 degrees
Fractional coordinates of all 4 atoms:
Pm 0.000 0.000 0.234
Pm 0.000 0.000 0.766
Al 0.500 0.500 0.500
Tc 0.500 0.500 0.000